Record 1
# NdGeRh2

A geometry-optimized NdGeRh2 structure (GGA-PBE, Alexandria via LeMat-Bulk).

## Properties
total magnetic moment	0.000	μB/f.u.
crystal system	orthorhombic
DOS at the Fermi energy	6.984	states/eV per cell
energy relative to the elements	-0.7673	eV/atom
total DFT energy (no corrections)	-6.79	eV per atom
calculated volume	78	Å³/f.u.

Unit cell a=4.1628 b=18.1491 c=4.1265 alpha=90.00 beta=90.00 gamma=90.00
Space group Cmmm (No. 65)
One atom of each set of equivalent atoms:
Nd 0.0000 0.1471 0.0000
Ge 0.0000 0.4213 0.5000
Rh 0.0000 0.0000 0.5000
Rh 0.0000 0.2889 0.5000
Rh 0.0000 0.5000 0.0000


Record 2
# NdGeRh2

A geometry-optimized NdGeRh2 structure (GGA-PBE, Alexandria via LeMat-Bulk).

## Properties
total magnetic moment	0.000	μB/f.u.
crystal system	orthorhombic
DOS at the Fermi energy	6.953	states/eV per cell
energy relative to the elements	-0.3115	eV/atom
total DFT energy (no corrections)	-6.33	eV per atom
calculated volume	81	Å³/f.u.

Unit cell a=5.8215 b=7.1705 c=3.9007 alpha=90.00 beta=90.00 gamma=90.00
Space group Cmmm (No. 65)
One atom of each set of equivalent atoms:
Nd 0.0000 0.0000 0.0000
Ge 0.0000 0.5000 0.0000
Rh 0.0000 0.3018 0.5000


Record 3
# Nd2Ge6Rh

A geometry-optimized Nd2Ge6Rh structure (GGA-PBE, Alexandria via LeMat-Bulk).

## Properties
total magnetic moment	0.000	μB/f.u.
crystal system	orthorhombic
DOS at the Fermi energy	5.495	states/eV per cell
energy relative to the elements	-0.5431	eV/atom
distance to the lowest polymorph of the same formula	0.0	kJ per mole of atoms
total DFT energy (no corrections)	-5.50	eV per atom
calculated volume	192	Å³/f.u.

Unit cell a=4.2428 b=4.0402 c=22.4013 alpha=90.00 beta=90.00 gamma=90.00
Space group Amm2 (No. 38)
One atom of each set of equivalent atoms:
Nd 0.0000 0.0000 0.0000
Nd 0.0000 0.0000 0.3362
Ge 0.0000 0.0000 0.6067
Ge 0.0000 0.0000 0.7180
Ge 0.5000 0.0000 0.1025
Ge 0.5000 0.0000 0.2143
Ge 0.5000 0.0000 0.4563
Ge 0.5000 0.0000 0.8862
Rh 0.5000 0.0000 0.7764


Record 4
# Nd3Ge2Rh2

A geometry-optimized Nd3Ge2Rh2 structure (GGA-PBE, Alexandria via LeMat-Bulk).

## Properties
total magnetic moment	0.000	μB/f.u.
crystal system	orthorhombic
DOS at the Fermi energy	23.711	states/eV per cell
energy relative to the elements	-0.8534	eV/atom
total DFT energy (no corrections)	-6.32	eV per atom
calculated volume	156	Å³/f.u.

Unit cell a=5.7244 b=8.0702 c=13.5500 alpha=90.00 beta=90.00 gamma=90.00
Space group Pbcm (No. 57)
One atom of each set of equivalent atoms:
Nd 0.1357 0.2494 0.2500
Nd 0.3579 0.6081 0.1003
Ge 0.1481 0.2500 0.0000
Ge 0.3576 0.6046 0.7500
Rh 0.1227 0.5370 0.5912